The following is a DFT calculation (PBE) of a relaxed structure of Fe6SiB2.

Unit cell a=6.124 b=6.124 c=6.124 alpha=114.10 beta=111.76 gamma=102.77
Atoms (fractional coordinates):
Fe  0.039  0.245  0.794
Fe  0.191  0.292  0.482
Fe  0.191  0.708  0.899
Fe  0.324  0.024  0.700
Fe  0.324  0.624  0.300
Fe  0.450  0.245  0.206
Fe  0.550  0.755  0.794
Fe  0.676  0.376  0.700
Fe  0.676  0.976  0.300
Fe  0.809  0.292  0.101
Fe  0.809  0.708  0.518
Fe  0.961  0.755  0.206
Si  0.000  0.000  0.000
Si  0.500  0.500  0.000
B  0.119  0.619  0.500
B  0.356  0.000  0.356
B  0.644  0.000  0.644
B  0.881  0.381  0.500

Output
ΔE_f (raw)   -28.6 kJ per mole of atoms
SG   Immm (71)
Crystal system   orthorhombic
Total energy   -144.4 eV for the cell shown